A plane-wave DFT calculation with PBE was carried out for an optimized crystal structure of CdIn2Hg.

Summary:
As for the symmetry: Fm-3m, No. 225. The calculation puts the energy above the lowest structure with this stoichiometry at 12.6 kJ/mol of formula units. The formation energy comes out at 0.039 eV per atom. As for the crystal system: cubic.

The structure in POSCAR format:
```
CdIn2Hg
1.0
0.000 3.744 3.744
3.744 0.000 3.744
3.744 3.744 0.000
Cd In Hg
1 2 1
Direct
0.000 0.000 0.000
0.250 0.250 0.250
0.750 0.750 0.750
0.500 0.500 0.500
```

---

A plane-wave DFT calculation with PBE was carried out for an optimized crystal structure of Cd3In2Hg9.

Summary:
As for the symmetry: P6_3/m, No. 176. The formation energy comes out at 0.036 eV per atom. As for the crystal system: hexagonal.

The structure in POSCAR format:
```
Cd3In2Hg9
1.0
8.110 0.000 0.000
-4.055 7.024 0.000
0.000 0.000 13.428
Cd In Hg
6 4 18
Direct
0.050 0.236 0.250
0.186 0.950 0.250
0.236 0.186 0.750
0.764 0.814 0.250
0.814 0.050 0.750
0.950 0.764 0.750
0.333 0.667 0.127
0.333 0.667 0.373
0.667 0.333 0.627
0.667 0.333 0.873
0.076 0.470 0.750
0.128 0.745 0.551
0.128 0.745 0.949
0.255 0.383 0.551
0.255 0.383 0.949
0.383 0.128 0.051
0.383 0.128 0.449
0.394 0.924 0.750
0.470 0.394 0.250
0.530 0.606 0.750
0.606 0.076 0.250
0.617 0.872 0.551
0.617 0.872 0.949
0.745 0.617 0.051
0.745 0.617 0.449
0.872 0.255 0.051
0.872 0.255 0.449
0.924 0.530 0.250
```

---

A plane-wave DFT calculation with PBE was carried out for an optimized crystal structure of Cd5In3Hg6.

Summary:
As for the symmetry: Pmmn, No. 59. The formation energy comes out at 0.030 eV per atom. As for the crystal system: orthorhombic.

The structure in POSCAR format:
```
Cd5In3Hg6
1.0
5.172 0.000 0.000
0.000 13.175 0.000
0.000 0.000 10.657
Cd In Hg
10 6 12
Direct
0.250 0.133 0.115
0.250 0.367 0.115
0.250 0.636 0.539
0.250 0.750 0.279
0.250 0.864 0.539
0.750 0.136 0.461
0.750 0.250 0.721
0.750 0.364 0.461
0.750 0.633 0.885
0.750 0.867 0.885
0.250 0.022 0.781
0.250 0.478 0.781
0.250 0.750 0.798
0.750 0.250 0.202
0.750 0.522 0.219
0.750 0.978 0.219
0.250 0.040 0.372
0.250 0.250 0.553
0.250 0.250 0.863
0.250 0.460 0.372
0.250 0.597 0.052
0.250 0.903 0.052
0.750 0.097 0.948
0.750 0.403 0.948
0.750 0.540 0.628
0.750 0.750 0.137
0.750 0.750 0.447
0.750 0.960 0.628
```

---

A plane-wave DFT calculation with PBE was carried out for an optimized crystal structure of Cd5In8Hg.

Summary:
As for the symmetry: I-4, No. 82. The calculation puts the energy above the lowest structure with this stoichiometry at 0.0 kJ/mol of formula units. The formation energy comes out at 0.053 eV per atom. As for the crystal system: tetragonal.

The structure in POSCAR format:
```
Cd5In8Hg
1.0
-4.490 4.490 4.607
4.490 -4.490 4.607
4.490 4.490 -4.607
Cd In Hg
5 8 1
Direct
0.000 0.000 0.000
0.297 0.214 0.685
0.388 0.703 0.917
0.529 0.612 0.315
0.786 0.471 0.083
0.019 0.750 0.601
0.070 0.357 0.919
0.149 0.418 0.399
0.250 0.851 0.269
0.438 0.151 0.081
0.582 0.981 0.731
0.643 0.562 0.713
0.849 0.930 0.287
0.750 0.250 0.500
```